Material: In2RuWF
Method: DFT, meta-GGA SCAN
State: PBEsol geometry

abc: 3.806 5.240 5.240
angles: 90.00 90.00 90.00
Sites, in units of the cell vectors:
Ru  0.500  0.500  0.500
F  0.500  0.000  0.000
W  0.000  0.000  0.000
In  0.000  0.000  0.500
In  0.000  0.500  0.000

DFT total energy (eV per atom): -34.2465
Theoretical density (kg/m3): 8480
Density of states at the Fermi level (states/eV/cell): 3.04